! Hf2NiGeAs, relaxed, DFT PBE; values from VASP
&SYSTEM
  ibrav = 0, nat = 5, ntyp = 4
/
ATOMIC_SPECIES
Hf 178.49 Hf.upf
Ni 58.69 Ni.upf
As 74.92 As.upf
Ge 72.64 Ge.upf
CELL_PARAMETERS angstrom
-4.3462 -1.4345 1.7740
-1.2711 -0.9265 -3.8633
1.7227 -4.5660 0.5283
ATOMIC_POSITIONS crystal
Hf 0.5000 0.0000 0.0000
Hf 0.0000 0.0000 0.5000
Ni 0.0000 0.0000 0.0000
As 0.0000 0.5000 0.0000
Ge 0.5000 0.5000 0.5000
! DFT total energy	-34.43	eV for the cell shown
! symmetry	P4/mmm
! spin magnetization	0.000	μB/atom
! formation energy	0.53	eV/f.u.

***

! Ca12Pb3N5, relaxed, DFT PBE; values from VASP
&SYSTEM
  ibrav = 0, nat = 80, ntyp = 3
/
ATOMIC_SPECIES
Ca 40.08 Ca.upf
Pb 207.20 Pb.upf
N 14.01 N.upf
CELL_PARAMETERS angstrom
13.9446 0.0000 0.0000
-4.6482 13.1471 0.0000
-4.6482 -6.5735 11.3857
ATOMIC_POSITIONS crystal
Ca 0.8077 0.4931 0.3914
Ca 0.4163 0.1086 0.6017
Ca 0.3983 0.0069 0.3146
Ca 0.0837 0.8983 0.3914
Ca 0.6017 0.9931 0.6854
Ca 0.1923 0.5069 0.6086
Ca 0.4931 0.8077 0.8914
Ca 0.0837 0.1854 0.1923
Ca 0.5837 0.6923 0.6854
Ca 0.9931 0.3914 0.3077
Ca 0.1923 0.6854 0.0837
Ca 0.4931 0.6854 0.1017
Ca 0.1017 0.9163 0.1086
Ca 0.8146 0.8983 0.0069
Ca 0.6086 0.6017 0.9163
Ca 0.8914 0.5837 0.8983
Ca 0.6086 0.0069 0.1923
Ca 0.6854 0.4931 0.6017
Ca 0.0069 0.6086 0.6923
Ca 0.1086 0.6923 0.5069
Ca 0.5837 0.8914 0.3983
Ca 0.3983 0.3914 0.5837
Ca 0.1086 0.4163 0.1017
Ca 0.3146 0.8077 0.4163
Ca 0.3146 0.5069 0.3983
Ca 0.8983 0.0837 0.8914
Ca 0.5069 0.3146 0.8983
Ca 0.9163 0.8146 0.8077
Ca 0.5069 0.1923 0.1086
Ca 0.1854 0.0837 0.6923
Ca 0.6017 0.6086 0.4163
Ca 0.4163 0.3077 0.3146
Ca 0.1017 0.1854 0.4931
Ca 0.9163 0.1017 0.6086
Ca 0.1854 0.1017 0.9931
Ca 0.6854 0.1923 0.5837
Ca 0.0069 0.3983 0.8146
Ca 0.8077 0.3146 0.9163
Ca 0.8146 0.9163 0.3077
Ca 0.8914 0.3077 0.4931
Ca 0.6923 0.1086 0.0069
Ca 0.3077 0.8914 0.9931
Ca 0.8983 0.8146 0.5069
Ca 0.9931 0.6017 0.1854
Ca 0.3914 0.3983 0.0837
Ca 0.3914 0.9931 0.8077
Ca 0.6923 0.5837 0.1854
Ca 0.3077 0.4163 0.8146
Pb 0.7500 0.3750 0.1250
Pb 0.2500 0.6250 0.8750
Pb 0.1250 0.2500 0.8750
Pb 0.6250 0.2500 0.3750
Pb 0.8750 0.7500 0.1250
Pb 0.3750 0.6250 0.2500
Pb 0.2500 0.1250 0.3750
Pb 0.1250 0.8750 0.7500
Pb 0.3750 0.7500 0.6250
Pb 0.6250 0.3750 0.7500
Pb 0.7500 0.8750 0.6250
Pb 0.8750 0.1250 0.2500
N 0.0000 0.5000 0.0000
N 0.5000 0.5000 0.0000
N 0.0000 0.5000 0.5000
N 0.7500 0.1250 0.8750
N 0.0000 0.0000 0.0000
N 0.2500 0.8750 0.1250
N 0.5000 0.0000 0.5000
N 0.8750 0.2500 0.6250
N 0.3750 0.2500 0.1250
N 0.6250 0.7500 0.8750
N 0.5000 0.5000 0.5000
N 0.1250 0.7500 0.3750
N 0.0000 0.0000 0.5000
N 0.3750 0.1250 0.7500
N 0.8750 0.6250 0.7500
N 0.5000 0.0000 0.0000
N 0.1250 0.3750 0.2500
N 0.6250 0.8750 0.2500
N 0.7500 0.6250 0.3750
N 0.2500 0.3750 0.6250
! DFT total energy	-353.33	eV for the cell shown
! symmetry	Ia-3d
! spin magnetization	0.000	μB/atom
! formation energy from raw total energies	-0.5781	eV per atom

***

! P2Rh, relaxed, DFT PBE; values from VASP
&SYSTEM
  ibrav = 0, nat = 3, ntyp = 2
/
ATOMIC_SPECIES
P 30.97 P.upf
Rh 102.91 Rh.upf
CELL_PARAMETERS angstrom
5.8143 0.0053 0.0000
4.3961 3.8053 0.0000
-5.1052 -1.9053 2.0280
ATOMIC_POSITIONS crystal
P 0.3582 0.3582 0.0000
P 0.6418 0.6418 0.0000
Rh 0.0000 0.0000 0.0000
! DFT total energy	-18.09	eV for the cell shown
! symmetry	I4/mmm
! spin magnetization	0.000	μB/atom
! formation energy	0.08	eV/f.u.

***

! Zr3MoIr, relaxed, DFT PBE; values from VASP
&SYSTEM
  ibrav = 0, nat = 5, ntyp = 3
/
ATOMIC_SPECIES
Zr 91.22 Zr.upf
Ir 192.22 Ir.upf
Mo 95.94 Mo.upf
CELL_PARAMETERS angstrom
5.0173 0.0000 0.0000
0.0000 5.0173 0.0000
0.0000 0.0000 5.0173
ATOMIC_POSITIONS crystal
Zr 0.0000 0.5000 0.0000
Zr 0.0000 0.0000 0.5000
Zr 0.5000 0.0000 0.0000
Ir 0.0000 0.0000 0.0000
Mo 0.5000 0.5000 0.5000
! DFT total energy	-41.91	eV for the cell shown
! symmetry	Pm-3m
! spin magnetization	0.333	μB/atom
! formation energy	3.42	eV/f.u.

***

! Hf3InBi, relaxed, DFT PBE; values from VASP
&SYSTEM
  ibrav = 0, nat = 5, ntyp = 3
/
ATOMIC_SPECIES
In 114.82 In.upf
Hf 178.49 Hf.upf
Bi 208.98 Bi.upf
CELL_PARAMETERS angstrom
5.3365 0.0000 0.0000
0.0000 5.3365 0.0000
0.0000 0.0000 5.3365
ATOMIC_POSITIONS crystal
In 0.5000 0.5000 0.5000
Hf 0.5000 0.0000 0.0000
Hf 0.0000 0.5000 0.0000
Hf 0.0000 0.0000 0.5000
Bi 0.0000 0.0000 0.0000
! DFT total energy	-30.46	eV for the cell shown
! symmetry	Pm-3m
! spin magnetization	0.000	μB/atom
! formation energy	6.02	eV/f.u.

***

! Hf2ScAu, relaxed, DFT PBE; values from VASP
&SYSTEM
  ibrav = 0, nat = 4, ntyp = 3
/
ATOMIC_SPECIES
Au 196.97 Au.upf
Sc 44.96 Sc.upf
Hf 178.49 Hf.upf
CELL_PARAMETERS angstrom
-2.0751 -4.0806 1.6475
-4.1142 0.2359 2.5864
-4.1836 -1.5550 -1.9368
ATOMIC_POSITIONS crystal
Au 0.5000 0.5000 0.5000
Sc 0.0000 0.0000 0.0000
Hf 0.2500 0.2500 0.2500
Hf 0.7500 0.7500 0.7500
! DFT total energy	-29.60	eV for the cell shown
! symmetry	Fm-3m
! spin magnetization	0.000	μB/atom
! formation energy	-0.09	eV/f.u.

***

! ScBe6Ni2, relaxed, DFT PBE; values from VASP
&SYSTEM
  ibrav = 0, nat = 9, ntyp = 3
/
ATOMIC_SPECIES
Be 9.01 Be.upf
Sc 44.96 Sc.upf
Ni 58.69 Ni.upf
CELL_PARAMETERS angstrom
-3.3977 -1.2906 -0.2674
-0.2645 -3.4270 -4.9326
0.3577 -5.9783 -0.5259
ATOMIC_POSITIONS crystal
Be 0.5000 0.3168 0.6832
Be 0.6989 0.5501 0.0520
Be 0.3011 0.4499 0.9480
Be 0.3011 0.9480 0.4499
Be 0.5000 0.6832 0.3168
Be 0.6989 0.0520 0.5501
Sc 0.0000 0.0000 0.0000
Ni 0.1204 0.3796 0.3796
Ni 0.8796 0.6204 0.6204
! DFT total energy	-41.06	eV for the cell shown
! symmetry	Immm
! spin magnetization	0.000	μB/atom
! formation energy	-0.81	eV/f.u.

***

! Ce2Er2Bi2C, relaxed, DFT PBE; values from VASP
&SYSTEM
  ibrav = 0, nat = 7, ntyp = 4
/
ATOMIC_SPECIES
Bi 208.98 Bi.upf
Ce 140.12 Ce.upf
C 12.01 C.upf
Er 167.26 Er.upf
CELL_PARAMETERS angstrom
4.8402 0.0000 0.0000
0.0000 4.8402 0.0000
-2.4201 -2.4201 8.2264
ATOMIC_POSITIONS crystal
Bi 0.3624 0.3624 0.7249
Bi 0.6376 0.6376 0.2751
Ce 0.1574 0.1574 0.3148
Ce 0.8426 0.8426 0.6852
C 0.0000 0.0000 0.0000
Er 0.5000 0.0000 0.0000
Er 0.0000 0.5000 0.0000
! DFT total energy	-42.49	eV for the cell shown
! symmetry	I4/mmm
! spin magnetization	0.491	μB/atom
! formation energy	-4.51	eV/f.u.